Record 1
First-principles (GGA-PBE) data for BeCr2Si after structural relaxation, as listed in the Alexandria database.

a b c (Å): 3.448 3.448 7.353
angles (deg): 90.00 90.00 90.00
Fractional coordinates of all 8 atoms:
Be1 0.000 0.000 0.000
Be2 0.500 0.500 0.500
Cr1 0.000 0.500 0.250
Cr2 0.000 0.500 0.750
Cr3 0.500 0.000 0.250
Cr4 0.500 0.000 0.750
Si1 0.000 0.000 0.500
Si2 0.500 0.500 0.000

Summary:
Density (g/cm3): 5.360
Density of states at the Fermi level (states/eV/f.u.): 3.72
Relative energy among the computed polymorphs (meV per atom): 100
Formation energy without anion corrections (meV/atom): -64



Record 2
First-principles (GGA-PBE) data for BeCr2Si after structural relaxation, as listed in the Alexandria database.

a b c (Å): 2.488 3.617 4.862
angles (deg): 90.00 90.00 90.00
Fractional coordinates of all 4 atoms:
Be1 0.000 0.000 0.000
Cr1 0.500 0.500 0.240
Cr2 0.500 0.500 0.760
Si1 0.000 0.000 0.500

Summary:
Density (g/cm3): 5.355
Density of states at the Fermi level (states/eV/f.u.): 4.24
Relative energy among the computed polymorphs (meV per atom): 156
Formation energy without anion corrections (meV/atom): -8



Record 3
First-principles (GGA-PBE) data for BeCr2Si after structural relaxation, as listed in the Alexandria database.

a b c (Å): 2.594 2.594 6.484
angles (deg): 90.00 90.00 90.00
Fractional coordinates of all 4 atoms:
Be1 0.000 0.000 0.000
Cr1 0.500 0.500 0.234
Cr2 0.500 0.500 0.766
Si1 0.000 0.000 0.500

Summary:
Density (g/cm3): 5.371
Density of states at the Fermi level (states/eV/f.u.): 4.19
Relative energy among the computed polymorphs (meV per atom): 223
Formation energy without anion corrections (meV/atom): 59



Record 4
First-principles (GGA-PBE) data for BeCr2Si after structural relaxation, as listed in the Alexandria database.

a b c (Å): 2.966 2.966 4.934
angles (deg): 90.00 90.00 90.00
Fractional coordinates of all 4 atoms:
Be1 0.000 0.000 0.000
Cr1 0.500 0.500 0.224
Cr2 0.500 0.500 0.776
Si1 0.000 0.000 0.500

Summary:
Density (g/cm3): 5.399
Density of states at the Fermi level (states/eV/f.u.): 2.55
Relative energy among the computed polymorphs (meV per atom): 148
Formation energy without anion corrections (meV/atom): -15



Record 5
First-principles (GGA-PBE) data for BeCr3Si after structural relaxation, as listed in the Alexandria database.

a b c (Å): 3.921 3.921 3.921
angles (deg): 90.00 90.00 90.00
Fractional coordinates of all 5 atoms:
Be1 0.000 0.000 0.000
Cr1 0.000 0.000 0.500
Cr2 0.000 0.500 0.000
Cr3 0.500 0.000 0.000
Si1 0.500 0.500 0.500

Summary:
Density (g/cm3): 5.317
Density of states at the Fermi level (states/eV/f.u.): 10.17
Relative energy among the computed polymorphs (meV per atom): 0
Formation energy without anion corrections (meV/atom): 701



Record 6
First-principles (GGA-PBE) data for BeCr2Si after structural relaxation, as listed in the Alexandria database.

a b c (Å): 3.054 3.915 7.557
angles (deg): 90.00 90.00 90.00
Fractional coordinates of all 8 atoms:
Be1 0.000 0.000 0.000
Be2 0.500 0.500 0.000
Cr1 0.000 0.000 0.505
Cr2 0.000 0.500 0.766
Cr3 0.500 0.000 0.766
Cr4 0.500 0.500 0.505
Si1 0.000 0.500 0.255
Si2 0.500 0.000 0.255

Summary:
Density (g/cm3): 5.187
Density of states at the Fermi level (states/eV/f.u.): 3.17
Relative energy among the computed polymorphs (meV per atom): 352
Formation energy without anion corrections (meV/atom): 188



Record 7
First-principles (GGA-PBE) data for BeCr2Si after structural relaxation, as listed in the Alexandria database.

a b c (Å): 4.833 7.306 2.480
angles (deg): 90.00 90.00 90.00
Fractional coordinates of all 8 atoms:
Be1 0.000 0.000 0.000
Be2 0.500 0.500 0.000
Cr1 0.250 0.250 0.500
Cr2 0.250 0.750 0.500
Cr3 0.750 0.250 0.500
Cr4 0.750 0.750 0.500
Si1 0.000 0.500 0.000
Si2 0.500 0.000 0.000

Summary:
Density (g/cm3): 5.351
Density of states at the Fermi level (states/eV/f.u.): 3.85
Relative energy among the computed polymorphs (meV per atom): 145
Formation energy without anion corrections (meV/atom): -19



Record 8
First-principles (GGA-PBE) data for BeCr2Si after structural relaxation, as listed in the Alexandria database.

a b c (Å): 8.390 2.508 4.241
angles (deg): 90.00 101.98 90.00
Fractional coordinates of all 8 atoms:
Be1 0.000 0.000 0.000
Be2 0.500 0.500 0.000
Cr1 0.255 0.000 0.796
Cr2 0.479 0.000 0.489
Cr3 0.755 0.500 0.796
Cr4 0.979 0.500 0.489
Si1 0.226 0.500 0.270
Si2 0.726 0.000 0.270

Summary:
Density (g/cm3): 5.368
Density of states at the Fermi level (states/eV/f.u.): 3.06
Relative energy among the computed polymorphs (meV per atom): 152
Formation energy without anion corrections (meV/atom): -12



Record 9
First-principles (GGA-PBE) data for BeCr2Si after structural relaxation, as listed in the Alexandria database.

a b c (Å): 3.038 3.820 7.495
angles (deg): 90.00 90.00 90.00
Fractional coordinates of all 8 atoms:
Be1 0.000 0.000 0.000
Be2 0.500 0.500 0.500
Cr1 0.000 0.000 0.495
Cr2 0.000 0.500 0.754
Cr3 0.500 0.000 0.254
Cr4 0.500 0.500 0.995
Si1 0.000 0.500 0.254
Si2 0.500 0.000 0.754

Summary:
Density (g/cm3): 5.386
Density of states at the Fermi level (states/eV/f.u.): 3.46
Relative energy among the computed polymorphs (meV per atom): 64
Formation energy without anion corrections (meV/atom): -100



Record 10
First-principles (GGA-PBE) data for BeCr2Si after structural relaxation, as listed in the Alexandria database.

a b c (Å): 3.043 3.877 7.416
angles (deg): 90.00 90.00 90.00
Fractional coordinates of all 8 atoms:
Be1 0.000 0.000 0.000
Be2 0.500 0.500 0.000
Cr1 0.000 0.500 0.245
Cr2 0.000 0.500 0.755
Cr3 0.500 0.000 0.245
Cr4 0.500 0.000 0.755
Si1 0.000 0.000 0.500
Si2 0.500 0.500 0.500

Summary:
Density (g/cm3): 5.356
Density of states at the Fermi level (states/eV/f.u.): 2.70
Relative energy among the computed polymorphs (meV per atom): 189
Formation energy without anion corrections (meV/atom): 26



Record 11
First-principles (GGA-PBE) data for BeCr2Si after structural relaxation, as listed in the Alexandria database.

a b c (Å): 3.350 3.350 17.012
angles (deg): 90.00 90.00 90.00
Fractional coordinates of all 16 atoms:
Be1 0.000 0.000 0.000
Be2 0.000 0.500 0.250
Be3 0.500 0.000 0.750
Be4 0.500 0.500 0.500
Cr1 0.239 0.250 0.125
Cr2 0.250 0.739 0.375
Cr3 0.250 0.761 0.875
Cr4 0.261 0.250 0.625
Cr5 0.739 0.750 0.625
Cr6 0.750 0.239 0.875
Cr7 0.750 0.261 0.375
Cr8 0.761 0.750 0.125
Si1 0.000 0.000 0.500
Si2 0.000 0.500 0.750
Si3 0.500 0.000 0.250
Si4 0.500 0.500 0.000

Summary:
Density (g/cm3): 4.908
Density of states at the Fermi level (states/eV/f.u.): 3.84
Relative energy among the computed polymorphs (meV per atom): 570
Formation energy without anion corrections (meV/atom): 406



Record 12
First-principles (GGA-PBE) data for BeCr2Si after structural relaxation, as listed in the Alexandria database.

a b c (Å): 2.910 2.910 5.138
angles (deg): 90.00 90.00 90.00
Fractional coordinates of all 4 atoms:
Be1 0.000 0.000 0.000
Cr1 0.000 0.000 0.482
Cr2 0.500 0.500 0.245
Si1 0.500 0.500 0.759

Summary:
Density (g/cm3): 5.384
Density of states at the Fermi level (states/eV/f.u.): 2.15
Relative energy among the computed polymorphs (meV per atom): 23
Formation energy without anion corrections (meV/atom): -141